This record from Alexandria via LeMat-Bulk describes a geometry-optimized Bi2As2Pd5 structure. The functional is PBE.

Fermi-level density of states, states/eV/atom: 0.39
Total magnetization, μB/f.u.: 0.0
Calculated formation energy, eV per atom: -0.25
Uncorrected energy, eV per atom: -5.032

Unit cell a=4.6895 b=7.2193 c=7.7870 alpha=127.75 beta=90.00 gamma=108.95
Closest atoms and distances in Å follow each position.
Fractional positions:
Bi  0.3711  0.7423  0.6597  5 Pd 2.76-2.96
Bi  0.6289  0.2577  0.3403  5 Pd 2.76-2.96
As  0.1220  0.2440  0.8514  6 Pd 2.49-2.59
As  0.8780  0.7560  0.1486  6 Pd 2.49-2.59
Pd  0.3533  0.7066  0.9925  3 As 2.56-2.59, 1 Bi 2.76
Pd  0.6467  0.2934  0.0075  3 As 2.56-2.59, 1 Bi 2.76
Pd  0.1113  0.2225  0.5192  2 As 2.49-2.56
Pd  0.8887  0.7775  0.4808  2 As 2.49-2.56
Pd  0.0000  0.0000  0.0000  2 As 2.57

This record from Alexandria via LeMat-Bulk describes a geometry-optimized Ac4Ir2PdPb structure. The functional is PBE.

Fermi-level density of states, states/eV/atom: 0.63
Total magnetization, μB/f.u.: 0.0
Calculated formation energy, eV per atom: -0.51
Uncorrected energy, eV per atom: -5.897

Unit cell a=4.4124 b=7.2088 c=17.3272 alpha=90.00 beta=90.00 gamma=107.82
Closest atoms and distances in Å follow each position.
Fractional positions:
Ac  0.2756  0.5512  0.0886  1 Pd 2.82, 3 Ir 2.98-3.02
Ac  0.7244  0.4488  0.5886  1 Pd 2.82, 3 Ir 2.98-3.02
Ac  0.7244  0.4488  0.9114  1 Pd 2.82, 3 Ir 2.98-3.02
Ac  0.2756  0.5512  0.4114  1 Pd 2.82, 3 Ir 2.98-3.02
Ac  0.0000  0.0000  0.5000  4 Ir 3.04
Ac  0.0000  0.0000  0.0000  4 Ir 3.04
Ac  0.4135  0.8269  0.7500  2 Pd 3.15, 2 Ir 3.25
Ac  0.5865  0.1731  0.2500  2 Pd 3.15, 2 Ir 3.25
Ir  0.3716  0.7431  0.5655  6 Ac 2.98-3.25
Ir  0.6284  0.2569  0.0655  6 Ac 2.98-3.25
Ir  0.6284  0.2569  0.4345  6 Ac 2.98-3.25
Ir  0.3716  0.7431  0.9345  6 Ac 2.98-3.25
Pd  0.7499  0.4998  0.7500  4 Ac 2.82-3.15, 2 Pb 2.85
Pd  0.2501  0.5002  0.2500  4 Ac 2.82-3.15, 2 Pb 2.85
Pb  0.1189  0.2379  0.7500  2 Pd 2.85
Pb  0.8811  0.7621  0.2500  2 Pd 2.85

This record from Alexandria via LeMat-Bulk describes a geometry-optimized Th3AsP2 structure. The functional is PBE.

Fermi-level density of states, states/eV/atom: 0.60
Total magnetization, μB/f.u.: 0.0
Calculated formation energy, eV per atom: -1.49
Uncorrected energy, eV per atom: -7.781

Unit cell a=4.1783 b=5.9078 c=7.2405 alpha=114.08 beta=106.77 gamma=90.00
Closest atoms and distances in Å follow each position.
Fractional positions:
Th  0.3273  0.3273  0.6545  4 P 2.92-2.96, 2 As 3.01
Th  0.0000  0.0000  0.0000  4 P 2.94, 2 As 2.95
Th  0.6727  0.6727  0.3455  4 P 2.92-2.96, 2 As 3.01
As  0.0000  0.5000  0.0000  6 Th 2.95-3.01
P  0.6650  0.1650  0.3299  6 Th 2.92-2.96
P  0.3350  0.8350  0.6701  6 Th 2.92-2.96